Here is a geometry-optimized TcH3 structure from Alexandria. Energies are from GGA-PBE.

abc: 2.850 2.849 2.856
angles: 90.00 90.00 90.00
Last column: magnetic moment on the atom in μB.
Atoms (fractional coordinates):
H1 0.500 0.000 0.407  0.00
H2 0.000 0.500 0.408  0.00
H3 0.500 0.500 0.912  0.00
Tc1 0.000 0.000 0.940  -0.24

Results
energy relative to the lowest polymorph listed for this composition	149.8	meV per atom
electronic total energy	-0.1760	Ha/atom
theoretical density	7.2	Mg/m³

***

Here is a geometry-optimized TcH3 structure from Alexandria. Energies are from GGA-PBE.

abc: 2.846 2.846 3.678
angles: 90.00 90.00 120.00
Atoms (fractional coordinates):
Tc1 0.333 0.667 0.500
H1 0.333 0.667 0.000
H2 0.667 0.333 0.744
H3 0.667 0.333 0.256

Results
energy relative to the lowest polymorph listed for this composition	97.7	meV per atom
electronic total energy	-0.1779	Ha/atom
theoretical density	6.5	Mg/m³

***

Here is a geometry-optimized TcH2 structure from Alexandria. Energies are from GGA-PBE.

abc: 4.421 4.233 4.213
angles: 90.00 90.91 90.00
Atoms (fractional coordinates):
Tc1 0.228 0.473 0.751
Tc2 0.772 0.973 0.749
H1 0.165 0.417 0.212
Tc3 0.228 0.973 0.251
H2 0.165 0.917 0.712
Tc4 0.772 0.473 0.249
H3 0.500 0.703 0.500
H4 0.500 0.218 0.500
H5 0.835 0.417 0.788
H6 0.500 0.203 0.000
H7 0.835 0.917 0.288
H8 0.500 0.718 0.000

Results
energy relative to the lowest polymorph listed for this composition	95.8	meV per atom
electronic total energy	-0.2025	Ha/atom
theoretical density	8.4	Mg/m³

***

Here is a geometry-optimized Tc2H structure from Alexandria. Energies are from GGA-PBE.

abc: 4.915 5.267 5.267
angles: 114.94 90.00 90.00
Atoms (fractional coordinates):
H1 0.000 0.250 0.250
H2 0.000 0.750 0.750
Tc1 0.833 0.373 0.627
H3 0.500 0.250 0.750
Tc2 0.667 0.873 0.627
Tc3 0.667 0.373 0.127
Tc4 0.167 0.627 0.373
Tc5 0.333 0.627 0.873
Tc6 0.167 0.127 0.873
Tc7 0.333 0.127 0.373
H4 0.500 0.750 0.250
Tc8 0.833 0.873 0.127

Results
energy relative to the lowest polymorph listed for this composition	0.0	meV per atom
electronic total energy	-0.2977	Ha/atom
theoretical density	10.6	Mg/m³

***

Here is a geometry-optimized TcH3 structure from Alexandria. Energies are from GGA-PBE.

abc: 2.634 3.189 3.057
angles: 90.00 90.39 90.00
Last column: magnetic moment on the atom in μB.
Atoms (fractional coordinates):
H1 0.000 0.000 0.000  0.00
H2 0.509 0.500 0.763  0.00
H3 0.491 0.500 0.237  0.00
Tc1 0.500 0.000 0.500  0.14

Results
energy relative to the lowest polymorph listed for this composition	217.7	meV per atom
electronic total energy	-0.1735	Ha/atom
theoretical density	6.5	Mg/m³

***

Here is a geometry-optimized Tc2H structure from Alexandria. Energies are from GGA-PBE.

abc: 2.810 2.810 5.384
angles: 118.67 118.67 84.58
Atoms (fractional coordinates):
H1 0.500 0.500 0.000
Tc1 0.080 0.080 0.283
Tc2 0.920 0.920 0.717

Results
energy relative to the lowest polymorph listed for this composition	249.1	meV per atom
electronic total energy	-0.2885	Ha/atom
theoretical density	10.2	Mg/m³

***

Here is a geometry-optimized TcH structure from Alexandria. Energies are from GGA-PBE.

abc: 2.894 4.145 9.023
angles: 90.00 90.00 90.00
Atoms (fractional coordinates):
H1 0.500 0.013 0.143
Tc1 0.000 0.667 0.500
H2 0.500 0.013 0.857
Tc2 0.500 0.276 0.312
H3 0.000 0.987 0.643
Tc3 0.500 0.333 0.000
Tc4 0.500 0.276 0.688
H4 0.000 0.595 0.000
Tc5 0.000 0.724 0.812
Tc6 0.000 0.724 0.188
H5 0.500 0.405 0.500
H6 0.000 0.987 0.357

Results
energy relative to the lowest polymorph listed for this composition	114.3	meV per atom
electronic total energy	-0.2484	Ha/atom
theoretical density	9.1	Mg/m³

***

Here is a geometry-optimized TcH2 structure from Alexandria. Energies are from GGA-PBE.

abc: 4.341 4.341 4.341
angles: 90.00 90.00 90.00
Last column: magnetic moment on the atom in μB.
Atoms (fractional coordinates):
H1 0.750 0.250 0.250  0.00
H2 0.250 0.250 0.750  0.00
H3 0.250 0.750 0.250  0.00
H4 0.750 0.250 0.750  0.00
Tc1 0.000 0.500 0.000  0.20
Tc2 0.000 0.000 0.500  0.20
H5 0.250 0.750 0.750  0.00
H6 0.250 0.250 0.250  0.00
Tc3 0.500 0.500 0.500  0.20
Tc4 0.500 0.000 0.000  0.20
H7 0.750 0.750 0.750  0.00
H8 0.750 0.750 0.250  0.00

Results
energy relative to the lowest polymorph listed for this composition	81.6	meV per atom
electronic total energy	-0.2031	Ha/atom
theoretical density	8.1	Mg/m³

***

Here is a geometry-optimized TcH structure from Alexandria. Energies are from GGA-PBE.

abc: 2.893 2.893 4.174
angles: 90.00 90.03 90.00
Atoms (fractional coordinates):
H1 0.250 0.750 0.500
H2 0.750 0.250 0.500
Tc1 0.750 0.750 0.804
Tc2 0.250 0.250 0.196

Results
energy relative to the lowest polymorph listed for this composition	17.9	meV per atom
electronic total energy	-0.2520	Ha/atom
theoretical density	9.4	Mg/m³

***

Here is a geometry-optimized TcH structure from Alexandria. Energies are from GGA-PBE.

abc: 5.063 5.063 5.063
angles: 90.00 90.00 90.00
Atoms (fractional coordinates):
H1 0.250 0.500 0.000
H2 0.500 0.000 0.250
H3 0.750 0.500 0.000
Tc1 0.500 0.250 0.000
Tc2 0.000 0.500 0.250
Tc3 0.000 0.500 0.750
Tc4 0.750 0.000 0.500
H4 0.000 0.250 0.500
Tc5 0.250 0.000 0.500
H5 0.500 0.000 0.750
H6 0.000 0.750 0.500
Tc6 0.500 0.750 0.000

Results
energy relative to the lowest polymorph listed for this composition	662.2	meV per atom
electronic total energy	-0.2283	Ha/atom
theoretical density	7.6	Mg/m³

***

Here is a geometry-optimized TcTe2H structure from Alexandria. Energies are from GGA-PBE.

abc: 5.645 5.645 6.852
angles: 65.67 65.67 90.00
Atoms (fractional coordinates):
H1 0.500 0.500 0.000
Te1 0.375 0.408 0.750
Tc1 0.750 0.250 0.500
Tc2 0.000 0.000 0.000
Te2 0.158 0.625 0.250
Te3 0.592 0.125 0.250
Te4 0.875 0.842 0.750
H2 0.250 0.750 0.500

Results
energy relative to the lowest polymorph listed for this composition	278.5	meV per atom
electronic total energy	-0.1656	Ha/atom
theoretical density	6.6	Mg/m³

***

Here is a geometry-optimized TcTe2H structure from Alexandria. Energies are from GGA-PBE.

abc: 8.642 8.642 8.642
angles: 21.24 21.24 21.24
Last column: magnetic moment on the atom in μB.
Atoms (fractional coordinates):
H1 0.500 0.500 0.500  0.00
Tc1 0.000 0.000 0.000  0.43
Te1 0.898 0.898 0.898  0.00
Te2 0.102 0.102 0.102  0.00

Results
energy relative to the lowest polymorph listed for this composition	754.4	meV per atom
electronic total energy	-0.1481	Ha/atom
theoretical density	7.9	Mg/m³

***

Here is a geometry-optimized TcTe2H structure from Alexandria. Energies are from GGA-PBE.

abc: 4.594 4.594 4.594
angles: 60.00 60.00 60.00
Last column: magnetic moment on the atom in μB.
Atoms (fractional coordinates):
Te1 0.750 0.750 0.750  0.00
Te2 0.250 0.250 0.250  0.00
Tc1 0.500 0.500 0.500  0.37
H1 0.000 0.000 0.000  0.05

Results
energy relative to the lowest polymorph listed for this composition	287.3	meV per atom
electronic total energy	-0.1653	Ha/atom
theoretical density	8.6	Mg/m³

***

Here is a geometry-optimized TcTeH structure from Alexandria. Energies are from GGA-PBE.

abc: 5.762 7.010 10.499
angles: 60.16 69.20 65.64
Atoms (fractional coordinates):
Te1 0.546 0.922 0.334
H1 0.046 0.777 0.865
H2 0.046 0.248 0.129
Tc1 0.950 0.798 0.711
H3 0.974 0.539 0.149
H4 0.578 0.667 0.692
Te2 0.285 0.844 0.067
Tc2 0.512 0.387 0.162
Tc3 0.114 0.049 0.802
H5 0.419 0.982 0.686
Te3 0.878 0.261 0.566
Te4 0.266 0.392 0.741
Tc4 0.994 0.582 0.299
H6 0.303 0.401 0.343
Tc5 0.575 0.719 0.829
Te5 0.013 0.849 0.425
Tc6 0.837 0.311 0.265
Te6 0.661 0.271 0.935

Results
electronic total energy	-0.1999	Ha/atom
theoretical density	6.9	Mg/m³

***

Here is a geometry-optimized Tc2TeH structure from Alexandria. Energies are from GGA-PBE.

abc: 4.821 4.821 6.275
angles: 67.41 67.41 90.00
Atoms (fractional coordinates):
Te1 0.750 0.250 0.500
Te2 0.000 0.000 0.000
Tc1 0.375 0.536 0.750
Tc2 0.286 0.625 0.250
Tc3 0.464 0.125 0.250
H1 0.500 0.500 0.000
H2 0.250 0.750 0.500
Tc4 0.875 0.714 0.750

Results
energy relative to the lowest polymorph listed for this composition	0.0	meV per atom
electronic total energy	-0.2369	Ha/atom
theoretical density	8.8	Mg/m³

***

Here is a geometry-optimized Tc2TeH structure from Alexandria. Energies are from GGA-PBE.

abc: 4.327 4.327 4.327
angles: 60.00 60.00 60.00
Last column: magnetic moment on the atom in μB.
Atoms (fractional coordinates):
Tc1 0.750 0.750 0.750  0.26
Tc2 0.250 0.250 0.250  0.26
H1 0.000 0.000 0.000  0.00
Te1 0.500 0.500 0.500  -0.01

Results
energy relative to the lowest polymorph listed for this composition	436.1	meV per atom
electronic total energy	-0.2209	Ha/atom
theoretical density	9.4	Mg/m³

***

Here is a geometry-optimized TcTe2H structure from Alexandria. Energies are from GGA-PBE.

abc: 7.031 7.031 7.031
angles: 33.48 33.48 33.48
Atoms (fractional coordinates):
Te1 0.099 0.099 0.099
Te2 0.901 0.901 0.901
H1 0.000 0.000 0.000
Tc1 0.500 0.500 0.500

Results
energy relative to the lowest polymorph listed for this composition	0.0	meV per atom
electronic total energy	-0.1758	Ha/atom
theoretical density	6.2	Mg/m³

***

Here is a geometry-optimized TcTeH2 structure from Alexandria. Energies are from GGA-PBE.

abc: 4.236 4.236 6.248
angles: 70.18 70.18 90.00
Last column: magnetic moment on the atom in μB.
Atoms (fractional coordinates):
H1 0.375 0.625 0.750  -0.01
Te1 0.750 0.250 0.500  -0.01
Tc1 0.500 0.500 0.000  0.51
H2 0.375 0.125 0.250  -0.01
Te2 0.000 0.000 0.000  -0.01
H3 0.875 0.625 0.750  -0.01
H4 0.375 0.625 0.250  -0.01
Tc2 0.250 0.750 0.500  0.51

Results
energy relative to the lowest polymorph listed for this composition	0.0	meV per atom
electronic total energy	-0.1659	Ha/atom
theoretical density	7.7	Mg/m³

***

Here is a geometry-optimized TcTeH2 structure from Alexandria. Energies are from GGA-PBE.

abc: 4.004 4.004 4.004
angles: 60.00 60.00 60.00
Atoms (fractional coordinates):
Te1 0.500 0.500 0.500
H1 0.250 0.250 0.250
Tc1 0.000 0.000 0.000
H2 0.750 0.750 0.750

Results
energy relative to the lowest polymorph listed for this composition	577.3	meV per atom
electronic total energy	-0.1447	Ha/atom
theoretical density	8.3	Mg/m³

***

Here is a geometry-optimized Th3TcTeH structure from Alexandria. Energies are from GGA-PBE.

abc: 4.247 8.317 8.881
angles: 104.89 90.00 90.00
Atoms (fractional coordinates):
Th1 0.750 0.826 0.097
Th2 0.250 0.807 0.445
Te1 0.750 0.868 0.736
Th3 0.750 0.437 0.224
Te2 0.250 0.132 0.264
Tc1 0.750 0.398 0.882
Th4 0.250 0.563 0.776
H1 0.250 0.095 0.616
Tc2 0.250 0.602 0.118
H2 0.750 0.905 0.384
Th5 0.250 0.174 0.903
Th6 0.750 0.193 0.555

Results
electronic total energy	-0.2581	Ha/atom
theoretical density	10.1	Mg/m³

***

Here is a geometry-optimized ThTcH3 structure from Alexandria. Energies are from GGA-PBE.

abc: 3.763 3.763 3.763
angles: 90.00 90.00 90.00
Atoms (fractional coordinates):
H1 0.000 0.000 0.500
Th1 0.500 0.500 0.500
Tc1 0.000 0.000 0.000
H2 0.500 0.000 0.000
H3 0.000 0.500 0.000

Results
electronic total energy	-0.2140	Ha/atom
theoretical density	10.4	Mg/m³

***

Here is a geometry-optimized ThTcH structure from Alexandria. Energies are from GGA-PBE.

abc: 5.363 7.411 5.368
angles: 99.65 90.00 90.00
Atoms (fractional coordinates):
H1 0.248 0.505 0.003
Th1 0.516 0.710 0.298
Th2 0.984 0.710 0.798
Th3 0.484 0.290 0.702
H2 0.752 0.495 0.997
Tc1 0.659 0.045 0.166
H3 0.252 0.505 0.503
H4 0.748 0.495 0.497
Tc2 0.159 0.955 0.334
Th4 0.016 0.290 0.202
Tc3 0.841 0.045 0.666
Tc4 0.341 0.955 0.834

Results
electronic total energy	-0.2651	Ha/atom
theoretical density	10.5	Mg/m³

***

Here is a geometry-optimized ThTcH2 structure from Alexandria. Energies are from GGA-PBE.

abc: 4.005 4.005 4.693
angles: 64.74 64.74 60.00
Atoms (fractional coordinates):
H1 0.144 0.144 0.569
Th1 0.500 0.500 0.500
H2 0.856 0.856 0.431
Tc1 0.000 0.000 0.000

Results
electronic total energy	-0.2282	Ha/atom
theoretical density	9.7	Mg/m³

***

Here is a geometry-optimized ThZnTc2H8 structure from Alexandria. Energies are from GGA-PBE.

abc: 4.488 4.488 7.120
angles: 90.00 90.00 120.00
Atoms (fractional coordinates):
H1 0.869 0.131 0.227
Zn1 0.000 0.000 0.000
H2 0.131 0.262 0.773
H3 0.333 0.667 0.580
Tc1 0.333 0.667 0.822
H4 0.262 0.131 0.227
Tc2 0.667 0.333 0.178
H5 0.869 0.738 0.227
H6 0.738 0.869 0.773
Th1 0.000 0.000 0.500
H7 0.667 0.333 0.420
H8 0.131 0.869 0.773

Results
electronic total energy	-0.1669	Ha/atom
theoretical density	6.7	Mg/m³

***

Here is a geometry-optimized Ti2TcH structure from Alexandria. Energies are from GGA-PBE.

abc: 2.986 2.986 5.922
angles: 90.00 90.00 90.00
Last column: magnetic moment on the atom in μB.
Atoms (fractional coordinates):
Ti1 0.000 0.000 0.237  0.23
Tc1 0.500 0.500 0.500  -0.05
Ti2 0.000 0.000 0.763  0.23
H1 0.500 0.500 0.000  -0.01

Results
energy relative to the lowest polymorph listed for this composition	283.8	meV per atom
electronic total energy	-0.2695	Ha/atom
theoretical density	6.1	Mg/m³

***

Computed D(E_F), in the same sequence as the records: 3.47; 2.03; 4.44; 6.56; 2.34; 2.34; 6.39; 8.79; 1.17; 10.89; 4.63; 4.30; 2.89; 6.45; 4.84; 5.70; 3.71; 5.27; 4.77; 11.38; 3.49; 5.36; 2.08; 3.03; 5.29 states/eV per cell.